Record 1
A plane-wave DFT calculation with PBE was carried out for U2PaS6 after structural relaxation.

Unit cell a=7.9072 b=7.9072 c=7.9072 alpha=146.16 beta=131.63 gamma=60.33
Last column: nearest neighbours and their distance in Å.
Positions (direct):
1 U 0.1677 0.1677 0.0000  8 S 2.80-2.82
2 U 0.8323 0.8323 0.0000  8 S 2.80-2.82
3 Pa 0.5000 0.5000 0.0000  8 S 2.78-2.80
4 S 0.0839 0.3346 0.7493  1 Pa 2.78, 3 U 2.80-2.81
5 S 0.2536 0.0000 0.2536  2 Pa 2.80, 2 U 2.82
6 S 0.4147 0.6654 0.7493  1 Pa 2.78, 3 U 2.80-2.81
7 S 0.5853 0.3346 0.2507  1 Pa 2.78, 3 U 2.80-2.81
8 S 0.7464 0.0000 0.7464  2 Pa 2.80, 2 U 2.82
9 S 0.9161 0.6654 0.2507  1 Pa 2.78, 3 U 2.80-2.81

Space group ... Immm (71)
E_form (uncorrected) ... -1.4850 eV/atom
Mass density ... 7.327 g cm⁻³

---

Record 2
A plane-wave DFT calculation with PBE was carried out for UPa2S8 after structural relaxation.

Unit cell a=7.1162 b=7.1162 c=5.5500 alpha=105.57 beta=105.57 gamma=111.33
Last column: nearest neighbours and their distance in Å.
Positions (direct):
1 U 0.0000 0.0000 0.0000  8 S 2.62-2.92
2 Pa 0.3067 0.6933 0.5000  8 S 2.67-2.91
3 Pa 0.6933 0.3067 0.5000  8 S 2.67-2.91
4 S 0.0818 0.3127 0.5286  2 Pa 2.67-2.71, 2 S 2.71-2.92, 1 U 2.92
5 S 0.2309 0.7691 0.0000  1 U 2.71, 2 Pa 2.91, 2 S 2.92
6 S 0.3127 0.0818 0.5286  2 Pa 2.67-2.71, 2 S 2.71-2.92, 1 U 2.92
7 S 0.3640 0.3640 0.1564  1 U 2.62, 2 Pa 2.83
8 S 0.6360 0.6360 0.8436  1 U 2.62, 2 Pa 2.83
9 S 0.6873 0.9182 0.4714  2 Pa 2.67-2.71, 2 S 2.71-2.92, 1 U 2.92
10 S 0.7691 0.2309 0.0000  1 U 2.71, 2 Pa 2.91, 2 S 2.92
11 S 0.9182 0.6873 0.4714  2 Pa 2.67-2.71, 2 S 2.71-2.92, 1 U 2.92

Space group ... C2/m (12)
E_form (uncorrected) ... -1.1571 eV/atom
Mass density ... 6.899 g cm⁻³

---

Record 3
A plane-wave DFT calculation with PBE was carried out for U6PaS12 after structural relaxation.

Unit cell a=7.8647 b=7.8647 c=7.8647 alpha=99.60 beta=99.60 gamma=99.60
Last column: nearest neighbours and their distance in Å.
Positions (direct):
1 U 0.1265 0.6360 0.8136  6 S 2.72-2.82
2 U 0.1864 0.8735 0.3640  6 S 2.72-2.82
3 U 0.3640 0.1864 0.8735  6 S 2.72-2.82
4 U 0.6360 0.8136 0.1265  6 S 2.72-2.82
5 U 0.8136 0.1265 0.6360  6 S 2.72-2.82
6 U 0.8735 0.3640 0.1864  6 S 2.72-2.82
7 Pa 0.5000 0.5000 0.5000  6 S 2.65
8 S 0.0745 0.3224 0.9251  4 U 2.73-2.82
9 S 0.0749 0.9255 0.6776  4 U 2.73-2.82
10 S 0.1709 0.5435 0.4320  1 Pa 2.65, 2 U 2.72-2.77
11 S 0.3224 0.9251 0.0745  4 U 2.73-2.82
12 S 0.4320 0.1709 0.5435  1 Pa 2.65, 2 U 2.72-2.77
13 S 0.4565 0.5680 0.8291  1 Pa 2.65, 2 U 2.72-2.77
14 S 0.5435 0.4320 0.1709  1 Pa 2.65, 2 U 2.72-2.77
15 S 0.5680 0.8291 0.4565  1 Pa 2.65, 2 U 2.72-2.77
16 S 0.6776 0.0749 0.9255  4 U 2.73-2.82
17 S 0.8291 0.4565 0.5680  1 Pa 2.65, 2 U 2.72-2.77
18 S 0.9251 0.0745 0.3224  4 U 2.73-2.82
19 S 0.9255 0.6776 0.0749  4 U 2.73-2.82

Space group ... R-3 (148)
E_form (uncorrected) ... -1.4081 eV/atom
Mass density ... 7.325 g cm⁻³

---

Record 4
A plane-wave DFT calculation with PBE was carried out for UPaS after structural relaxation.

Unit cell a=5.2914 b=5.2914 c=5.2914 alpha=140.41 beta=140.41 gamma=57.22
Last column: nearest neighbours and their distance in Å.
Positions (direct):
1 U 0.0000 0.0000 0.0000  4 Pa 2.75, 1 S 2.86
2 Pa 0.3849 0.3849 0.0000  4 U 2.75, 1 S 2.85
3 S 0.6919 0.6919 0.0000  5 Pa 2.85-3.10, 5 U 2.86-3.10

Space group ... I4mm (107)
E_form (uncorrected) ... -0.3317 eV/atom
Mass density ... 13.949 g cm⁻³

---

Record 5
A plane-wave DFT calculation with PBE was carried out for U2PaS4 after structural relaxation.

Unit cell a=6.6909 b=6.6909 c=12.7498 alpha=90.00 beta=90.00 gamma=147.05
Last column: nearest neighbours and their distance in Å.
Positions (direct):
1 U 0.1382 0.8618 0.5633  6 S 2.71-2.74
2 U 0.1382 0.8618 0.9367  6 S 2.71-2.74
3 U 0.8618 0.1382 0.0633  6 S 2.71-2.74
4 U 0.8618 0.1382 0.4367  6 S 2.71-2.74
5 Pa 0.3804 0.6196 0.7500  6 S 2.75-2.79
6 Pa 0.6196 0.3804 0.2500  6 S 2.75-2.79
7 S 0.0352 0.9648 0.7500  2 U 2.72, 2 Pa 2.75
8 S 0.2269 0.7731 0.1319  3 U 2.71-2.74, 2 Pa 2.79, 1 S 3.01
9 S 0.2269 0.7731 0.3681  3 U 2.71-2.74, 2 Pa 2.79, 1 S 3.01
10 S 0.5000 0.5000 0.0000  4 U 2.72
11 S 0.5000 0.5000 0.5000  4 U 2.72
12 S 0.7731 0.2269 0.6319  3 U 2.71-2.74, 2 Pa 2.79, 1 S 3.01
13 S 0.7731 0.2269 0.8681  3 U 2.71-2.74, 2 Pa 2.79, 1 S 3.01
14 S 0.9648 0.0352 0.2500  2 U 2.72, 2 Pa 2.75

Space group ... Cmcm (63)
E_form (uncorrected) ... -1.3918 eV/atom
Mass density ... 8.936 g cm⁻³

---

Record 6
A plane-wave DFT calculation with PBE was carried out for UPa5S6 after structural relaxation.

Unit cell a=6.8618 b=6.8618 c=6.4754 alpha=100.08 beta=100.08 gamma=119.19
Last column: nearest neighbours and their distance in Å.
Positions (direct):
1 U 0.0000 0.0000 0.0000  6 S 2.74
2 Pa 0.1670 0.8330 0.5000  6 S 2.75-2.76
3 Pa 0.3332 0.6668 0.0000  6 S 2.75-2.76
4 Pa 0.5000 0.5000 0.5000  6 S 2.75-2.76
5 Pa 0.6668 0.3332 0.0000  6 S 2.75-2.76
6 Pa 0.8330 0.1670 0.5000  6 S 2.75-2.76
7 S 0.0829 0.4147 0.2488  1 U 2.74, 5 Pa 2.75-2.76
8 S 0.2487 0.2487 0.7506  1 U 2.74, 5 Pa 2.75-2.76
9 S 0.4147 0.0829 0.2488  1 U 2.74, 5 Pa 2.75-2.76
10 S 0.5853 0.9171 0.7512  1 U 2.74, 5 Pa 2.75-2.76
11 S 0.7513 0.7513 0.2494  1 U 2.74, 5 Pa 2.75-2.76
12 S 0.9171 0.5853 0.7512  1 U 2.74, 5 Pa 2.75-2.76

Space group ... C2/m (12)
E_form (uncorrected) ... -1.5658 eV/atom
Mass density ... 10.541 g cm⁻³

---

Record 7
A plane-wave DFT calculation with PBE was carried out for U6PaS8 after structural relaxation.

Unit cell a=7.1021 b=7.1021 c=7.1021 alpha=72.62 beta=72.62 gamma=72.62
Last column: nearest neighbours and their distance in Å.
Positions (direct):
1 U 0.0757 0.6470 0.4670  1 U 2.49, 4 S 2.73-2.77
2 U 0.3530 0.5330 0.9243  1 U 2.49, 4 S 2.73-2.77
3 U 0.4670 0.0757 0.6470  1 U 2.49, 4 S 2.73-2.77
4 U 0.5330 0.9243 0.3530  1 U 2.49, 4 S 2.73-2.77
5 U 0.6470 0.4670 0.0757  1 U 2.49, 4 S 2.73-2.77
6 U 0.9243 0.3530 0.5330  1 U 2.49, 4 S 2.73-2.77
7 Pa 0.0000 0.0000 0.0000  6 S 2.71
8 S 0.1178 0.3542 0.8213  1 Pa 2.71, 4 U 2.74-2.88
9 S 0.1787 0.8822 0.6458  1 Pa 2.71, 4 U 2.74-2.88
10 S 0.3199 0.3199 0.3199  6 U 2.73-2.74
11 S 0.3542 0.8213 0.1178  1 Pa 2.71, 4 U 2.74-2.88
12 S 0.6458 0.1787 0.8822  1 Pa 2.71, 4 U 2.74-2.88
13 S 0.6801 0.6801 0.6801  6 U 2.73-2.74
14 S 0.8213 0.1178 0.3542  1 Pa 2.71, 4 U 2.74-2.88
15 S 0.8822 0.6458 0.1787  1 Pa 2.71, 4 U 2.74-2.88

Space group ... R-3 (148)
E_form (uncorrected) ... -1.1569 eV/atom
Mass density ... 10.019 g cm⁻³

---

Record 8
A plane-wave DFT calculation with PBE was carried out for U3Pa5S8 after structural relaxation.

Unit cell a=7.8669 b=7.8669 c=7.8669 alpha=58.47 beta=58.47 gamma=58.47
Last column: nearest neighbours and their distance in Å.
Positions (direct):
1 U 0.0000 0.5000 0.5000  6 S 2.74
2 U 0.5000 0.0000 0.5000  6 S 2.74
3 U 0.5000 0.5000 0.0000  6 S 2.74
4 Pa 0.0000 0.0000 0.0000  6 S 2.75
5 Pa 0.0000 0.0000 0.5000  6 S 2.76
6 Pa 0.0000 0.5000 0.0000  6 S 2.76
7 Pa 0.5000 0.0000 0.0000  6 S 2.76
8 Pa 0.5000 0.5000 0.5000  6 S 2.75
9 S 0.2499 0.2499 0.7478  2 U 2.74, 4 Pa 2.75-2.76
10 S 0.2499 0.7478 0.2499  2 U 2.74, 4 Pa 2.75-2.76
11 S 0.2512 0.2512 0.2512  3 U 2.74, 3 Pa 2.76
12 S 0.2522 0.7501 0.7501  2 U 2.74, 4 Pa 2.75-2.76
13 S 0.7478 0.2499 0.2499  2 U 2.74, 4 Pa 2.75-2.76
14 S 0.7488 0.7488 0.7488  3 U 2.74, 3 Pa 2.76
15 S 0.7501 0.2522 0.7501  2 U 2.74, 4 Pa 2.75-2.76
16 S 0.7501 0.7501 0.2522  2 U 2.74, 4 Pa 2.75-2.76

Space group ... R-3m (166)
E_form (uncorrected) ... -1.5246 eV/atom
Mass density ... 10.626 g cm⁻³

---

Record 9
A plane-wave DFT calculation with PBE was carried out for UPa6S12 after structural relaxation.

Unit cell a=7.8944 b=7.8944 c=7.8944 alpha=99.92 beta=99.92 gamma=99.92
Last column: nearest neighbours and their distance in Å.
Positions (direct):
1 U 0.0000 0.0000 0.0000  6 S 2.66
2 Pa 0.1348 0.6277 0.3076  7 S 2.71-3.01
3 Pa 0.3076 0.1348 0.6277  7 S 2.71-3.01
4 Pa 0.3723 0.6924 0.8652  7 S 2.71-3.01
5 Pa 0.6277 0.3076 0.1348  7 S 2.71-3.01
6 Pa 0.6924 0.8652 0.3723  7 S 2.71-3.01
7 Pa 0.8652 0.3723 0.6924  7 S 2.71-3.01
8 S 0.0451 0.6709 0.9338  1 U 2.66, 2 Pa 2.71-2.75
9 S 0.0662 0.9549 0.3291  1 U 2.66, 2 Pa 2.71-2.75
10 S 0.1777 0.4264 0.5696  4 Pa 2.75-2.86
11 S 0.3291 0.0662 0.9549  1 U 2.66, 2 Pa 2.71-2.75
12 S 0.4264 0.5696 0.1777  4 Pa 2.75-2.86
13 S 0.4304 0.8223 0.5736  4 Pa 2.75-2.86
14 S 0.5696 0.1777 0.4264  4 Pa 2.75-2.86
15 S 0.5736 0.4304 0.8223  4 Pa 2.75-2.86
16 S 0.6709 0.9338 0.0451  1 U 2.66, 2 Pa 2.71-2.75
17 S 0.8223 0.5736 0.4304  4 Pa 2.75-2.86
18 S 0.9338 0.0451 0.6709  1 U 2.66, 2 Pa 2.71-2.75
19 S 0.9549 0.3291 0.0662  1 U 2.66, 2 Pa 2.71-2.75

Space group ... R-3 (148)
E_form (uncorrected) ... -1.5167 eV/atom
Mass density ... 7.144 g cm⁻³

---

Record 10
A plane-wave DFT calculation with PBE was carried out for U3PaS4 after structural relaxation.

Unit cell a=5.4854 b=5.4854 c=5.4854 alpha=90.00 beta=90.00 gamma=90.00
Last column: nearest neighbours and their distance in Å.
Positions (direct):
1 U 0.0000 0.0000 0.5000  6 S 2.74
2 U 0.0000 0.5000 0.0000  6 S 2.74
3 U 0.5000 0.0000 0.0000  6 S 2.74
4 Pa 0.5000 0.5000 0.5000  6 S 2.74
5 S 0.0000 0.0000 0.0000  6 U 2.74
6 S 0.0000 0.5000 0.5000  2 Pa 2.74, 4 U 2.74
7 S 0.5000 0.0000 0.5000  2 Pa 2.74, 4 U 2.74
8 S 0.5000 0.5000 0.0000  2 Pa 2.74, 4 U 2.74

Space group ... Pm-3m (221)
E_form (uncorrected) ... -1.4355 eV/atom
Mass density ... 10.799 g cm⁻³

---

Repeat the eighth record exactly.
A plane-wave DFT calculation with PBE was carried out for U3Pa5S8 after structural relaxation.

Unit cell a=7.8669 b=7.8669 c=7.8669 alpha=58.47 beta=58.47 gamma=58.47
Last column: nearest neighbours and their distance in Å.
Positions (direct):
1 U 0.0000 0.5000 0.5000  6 S 2.74
2 U 0.5000 0.0000 0.5000  6 S 2.74
3 U 0.5000 0.5000 0.0000  6 S 2.74
4 Pa 0.0000 0.0000 0.0000  6 S 2.75
5 Pa 0.0000 0.0000 0.5000  6 S 2.76
6 Pa 0.0000 0.5000 0.0000  6 S 2.76
7 Pa 0.5000 0.0000 0.0000  6 S 2.76
8 Pa 0.5000 0.5000 0.5000  6 S 2.75
9 S 0.2499 0.2499 0.7478  2 U 2.74, 4 Pa 2.75-2.76
10 S 0.2499 0.7478 0.2499  2 U 2.74, 4 Pa 2.75-2.76
11 S 0.2512 0.2512 0.2512  3 U 2.74, 3 Pa 2.76
12 S 0.2522 0.7501 0.7501  2 U 2.74, 4 Pa 2.75-2.76
13 S 0.7478 0.2499 0.2499  2 U 2.74, 4 Pa 2.75-2.76
14 S 0.7488 0.7488 0.7488  3 U 2.74, 3 Pa 2.76
15 S 0.7501 0.2522 0.7501  2 U 2.74, 4 Pa 2.75-2.76
16 S 0.7501 0.7501 0.2522  2 U 2.74, 4 Pa 2.75-2.76

Space group ... R-3m (166)
E_form (uncorrected) ... -1.5246 eV/atom
Mass density ... 10.626 g cm⁻³

---

Copy entry 1 word for word.
A plane-wave DFT calculation with PBE was carried out for U2PaS6 after structural relaxation.

Unit cell a=7.9072 b=7.9072 c=7.9072 alpha=146.16 beta=131.63 gamma=60.33
Last column: nearest neighbours and their distance in Å.
Positions (direct):
1 U 0.1677 0.1677 0.0000  8 S 2.80-2.82
2 U 0.8323 0.8323 0.0000  8 S 2.80-2.82
3 Pa 0.5000 0.5000 0.0000  8 S 2.78-2.80
4 S 0.0839 0.3346 0.7493  1 Pa 2.78, 3 U 2.80-2.81
5 S 0.2536 0.0000 0.2536  2 Pa 2.80, 2 U 2.82
6 S 0.4147 0.6654 0.7493  1 Pa 2.78, 3 U 2.80-2.81
7 S 0.5853 0.3346 0.2507  1 Pa 2.78, 3 U 2.80-2.81
8 S 0.7464 0.0000 0.7464  2 Pa 2.80, 2 U 2.82
9 S 0.9161 0.6654 0.2507  1 Pa 2.78, 3 U 2.80-2.81

Space group ... Immm (71)
E_form (uncorrected) ... -1.4850 eV/atom
Mass density ... 7.327 g cm⁻³

---

Look up the E_form (uncorrected) of the first one. -1.4850 eV/atom